# 1
The following is a DFT calculation (PBE) of an optimized crystal structure of La3PuPa2P6.

Calculated values
Electronic total energy = -8.130 eV per atom
Symmetry = C2/m (12)

Unit cell a=7.108 b=7.108 c=7.177 alpha=99.51 beta=99.51 gamma=119.99
Sites, in units of the cell vectors:
La1 0.000 0.000 0.000
La2 0.334 0.666 0.000
La3 0.666 0.334 0.000
Pu1 0.500 0.500 0.500
Pa1 0.167 0.833 0.500
Pa2 0.833 0.167 0.500
P1 0.086 0.424 0.272
P2 0.238 0.238 0.728
P3 0.424 0.086 0.272
P4 0.576 0.914 0.728
P5 0.762 0.762 0.272
P6 0.914 0.576 0.728

# 2
The following is a DFT calculation (PBE) of an optimized crystal structure of LaPuPa2P4.

Calculated values
Electronic total energy = -8.821 eV per atom
Symmetry = P2/m (10)

Unit cell a=7.013 b=4.046 c=7.029 alpha=90.00 beta=109.45 gamma=90.00
Sites, in units of the cell vectors:
La1 0.000 0.000 0.000
Pu1 0.500 0.500 0.000
Pa1 0.000 0.500 0.500
Pa2 0.500 0.000 0.500
P1 0.253 0.000 0.739
P2 0.261 0.500 0.267
P3 0.739 0.500 0.733
P4 0.747 0.000 0.261

# 3
The following is a DFT calculation (PBE) of an optimized crystal structure of La2PaP3Rh12.

Calculated values
Electronic total energy = -7.312 eV per atom
Symmetry = R-3m (166)

Unit cell a=7.067 b=7.067 c=7.067 alpha=74.63 beta=74.63 gamma=74.63
Sites, in units of the cell vectors:
La1 0.105 0.105 0.105
La2 0.895 0.895 0.895
Pa1 0.500 0.500 0.500
P1 0.000 0.500 0.500
P2 0.500 0.000 0.500
P3 0.500 0.500 0.000
Rh1 0.128 0.657 0.657
Rh2 0.171 0.171 0.588
Rh3 0.171 0.588 0.171
Rh4 0.343 0.343 0.872
Rh5 0.343 0.872 0.343
Rh6 0.412 0.829 0.829
Rh7 0.588 0.171 0.171
Rh8 0.657 0.128 0.657
Rh9 0.657 0.657 0.128
Rh10 0.829 0.412 0.829
Rh11 0.829 0.829 0.412
Rh12 0.872 0.343 0.343

# 4
The following is a DFT calculation (PBE) of an optimized crystal structure of La2PaP3Rh4.

Calculated values
Electronic total energy = -7.546 eV per atom
Symmetry = P-4m2 (115)

Unit cell a=4.116 b=4.116 c=11.076 alpha=90.00 beta=90.00 gamma=90.00
Sites, in units of the cell vectors:
La1 0.000 0.500 0.224
La2 0.500 0.000 0.776
Pa1 0.000 0.000 0.500
P1 0.000 0.500 0.876
P2 0.500 0.000 0.124
P3 0.500 0.500 0.500
Rh1 0.000 0.000 0.000
Rh2 0.000 0.500 0.659
Rh3 0.500 0.000 0.341
Rh4 0.500 0.500 0.000

# 5
The following is a DFT calculation (PBE) of an optimized crystal structure of La3Sc2PaP6.

Calculated values
Electronic total energy = -7.265 eV per atom
Symmetry = C2/m (12)

Unit cell a=6.980 b=6.980 c=7.070 alpha=99.46 beta=99.46 gamma=120.01
Sites, in units of the cell vectors:
La1 0.000 0.000 0.000
La2 0.333 0.667 0.000
La3 0.667 0.333 0.000
Sc1 0.167 0.833 0.500
Sc2 0.833 0.167 0.500
Pa1 0.500 0.500 0.500
P1 0.090 0.426 0.278
P2 0.238 0.238 0.721
P3 0.426 0.090 0.278
P4 0.574 0.910 0.722
P5 0.762 0.762 0.279
P6 0.910 0.574 0.722

# 6
The following is a DFT calculation (PBE) of an optimized crystal structure of La4ScPa3P8.

Calculated values
Electronic total energy = -7.563 eV per atom
Symmetry = R-3m (166)

Unit cell a=8.218 b=8.218 c=8.218 alpha=59.30 beta=59.30 gamma=59.30
Sites, in units of the cell vectors:
La1 0.000 0.000 0.000
La2 0.000 0.500 0.500
La3 0.500 0.000 0.500
La4 0.500 0.500 0.000
Sc1 0.500 0.500 0.500
Pa1 0.000 0.000 0.500
Pa2 0.000 0.500 0.000
Pa3 0.500 0.000 0.000
P1 0.243 0.243 0.243
P2 0.244 0.740 0.740
P3 0.260 0.260 0.756
P4 0.260 0.756 0.260
P5 0.740 0.244 0.740
P6 0.740 0.740 0.244
P7 0.756 0.260 0.260
P8 0.757 0.757 0.757